(1)
This record from Alexandria describes Ba3CaSe after structural relaxation. The functional is GGA-PBE.

a = 6.4538 Å, b = 6.4538 Å, c = 6.4538 Å
α = 90.00°, β = 90.00°, γ = 90.00°
Last column: nearest neighbours and their distance in Å.
Sites, in units of the cell vectors:
Ca 0.5000 0.5000 0.5000  12 Ba 4.56
Ba 0.0000 0.5000 0.0000  2 Se 3.23
Ba 0.0000 0.0000 0.5000  2 Se 3.23
Ba 0.5000 0.0000 0.0000  2 Se 3.23
Se 0.0000 0.0000 0.0000  6 Ba 3.23

Calculated values
ΔE_f (raw) in eV/atom: -0.70
Crystal system: cubic
Density in g cm⁻³: 3.280
Total DFT energy (no corrections) in eV per atom: -2.95
E above lowest polymorph in meV/atom: 0

=====

(2)
This record from Alexandria describes Pm2NdAg2Sn2 after structural relaxation. The functional is GGA-PBE.

a = 4.8838 Å, b = 4.8838 Å, c = 9.4195 Å
α = 74.98°, β = 74.98°, γ = 60.00°
Last column: nearest neighbours and their distance in Å.
Sites, in units of the cell vectors:
Pm 0.1346 0.1346 0.5963  3 Ag 3.02, 3 Pm 3.31, 3 Sn 3.34
Pm 0.8654 0.8654 0.4037  3 Ag 3.02, 3 Pm 3.31, 3 Sn 3.34
Nd 0.0000 0.0000 0.0000  6 Sn 3.36, 2 Pm 3.63
Ag 0.5722 0.5722 0.2833  3 Sn 2.91, 3 Pm 3.02
Ag 0.4278 0.4278 0.7167  3 Sn 2.91, 3 Pm 3.02
Sn 0.7346 0.7346 0.7963  3 Ag 2.91
Sn 0.2654 0.2654 0.2037  3 Ag 2.91

Calculated values
Formation energy in eV/f.u.: -3.0
Crystal system: trigonal
Density in g cm⁻³: 7.937
Total DFT energy (no corrections) in eV per atom: -4.42

=====

(3)
This record from Alexandria describes Nd2Y7Er2 after structural relaxation. The functional is GGA-PBE.

a = 6.0510 Å, b = 8.0909 Å, c = 8.0909 Å
α = 92.27°, β = 74.43°, γ = 74.43°
Last column: nearest neighbours and their distance in Å.
Sites, in units of the cell vectors:
Nd 0.5000 0.2153 0.7847  6 Y 3.28-3.51
Nd 0.5000 0.7847 0.2153  6 Y 3.28-3.51
Y 0.1730 0.0624 0.5907  3 Y 3.20-3.39, 2 Nd 3.28-3.47
Y 0.8270 0.4093 0.9376  3 Y 3.20-3.39, 2 Nd 3.28-3.47
Y 0.8270 0.9376 0.4093  3 Y 3.20-3.39, 2 Nd 3.28-3.47
Y 0.1730 0.5907 0.0624  3 Y 3.20-3.39, 2 Nd 3.28-3.47
Y 0.0000 0.0000 0.0000  6 Y 3.30-3.51
Y 0.5893 0.7667 0.7667  5 Y 3.39-3.61, 3 Er 3.43-3.70, 2 Nd 3.51
Y 0.4107 0.2333 0.2333  5 Y 3.39-3.61, 3 Er 3.43-3.70, 2 Nd 3.51
Er 0.8046 0.4094 0.4094  7 Y 3.43-3.78, 2 Er 3.45-3.67, 2 Nd 3.74
Er 0.1954 0.5906 0.5906  7 Y 3.43-3.78, 2 Er 3.45-3.67, 2 Nd 3.74

Calculated values
Formation energy in eV/f.u.: 1.8
Crystal system: monoclinic
Density in g cm⁻³: 5.667
Total DFT energy (no corrections) in eV per atom: -5.64
E above lowest polymorph in meV/atom: 7

=====

(4)
This record from Alexandria describes Ga3TcBr after structural relaxation. The functional is GGA-PBE.

a = 5.3349 Å, b = 5.3349 Å, c = 5.3349 Å
α = 90.00°, β = 90.00°, γ = 90.00°
Last column: nearest neighbours and their distance in Å.
Sites, in units of the cell vectors:
Ga 0.0000 0.5000 0.0000  2 Br 2.67
Ga 0.0000 0.0000 0.5000  2 Br 2.67
Ga 0.5000 0.0000 0.0000  2 Br 2.67
Tc 0.5000 0.5000 0.5000  12 Ga 3.77
Br 0.0000 0.0000 0.0000  6 Ga 2.67

Calculated values
ΔE_f (raw) in eV/atom: 1.26
Crystal system: cubic
Density in g cm⁻³: 4.233
Total DFT energy (no corrections) in eV per atom: -2.97
E above lowest polymorph in meV/atom: 1149

=====

(5)
This record from Alexandria describes Ho3Ti5N12 after structural relaxation. The functional is GGA-PBE.

a = 10.9501 Å, b = 10.9501 Å, c = 10.9501 Å
α = 109.47°, β = 109.47°, γ = 109.47°
Last column: nearest neighbours and their distance in Å.
Sites, in units of the cell vectors:
Ho 0.7500 0.3750 0.1250  8 N 2.44-2.47
Ho 0.8750 0.7500 0.1250  8 N 2.44-2.47
Ho 0.3750 0.7500 0.6250  8 N 2.44-2.47
Ho 0.2500 0.1250 0.3750  8 N 2.44-2.47
Ho 0.8750 0.1250 0.2500  8 N 2.44-2.47
Ho 0.3750 0.6250 0.2500  8 N 2.44-2.47
Ho 0.6250 0.3750 0.7500  8 N 2.44-2.47
Ho 0.1250 0.8750 0.7500  8 N 2.44-2.47
Ho 0.7500 0.8750 0.6250  8 N 2.44-2.47
Ho 0.6250 0.2500 0.3750  8 N 2.44-2.47
Ho 0.1250 0.2500 0.8750  8 N 2.44-2.47
Ho 0.2500 0.6250 0.8750  8 N 2.44-2.47
Ti 0.1250 0.3750 0.2500  4 N 1.90
Ti 0.0000 0.5000 0.0000  6 N 2.07
Ti 0.0000 0.0000 0.0000  6 N 2.07
Ti 0.3750 0.2500 0.1250  4 N 1.90
Ti 0.5000 0.0000 0.5000  6 N 2.07
Ti 0.5000 0.5000 0.0000  6 N 2.07
Ti 0.1250 0.7500 0.3750  4 N 1.90
Ti 0.7500 0.1250 0.8750  4 N 1.90
Ti 0.7500 0.6250 0.3750  4 N 1.90
Ti 0.3750 0.1250 0.7500  4 N 1.90
Ti 0.6250 0.8750 0.2500  4 N 1.90
Ti 0.5000 0.5000 0.5000  6 N 2.07
Ti 0.5000 0.0000 0.0000  6 N 2.07
Ti 0.0000 0.0000 0.5000  6 N 2.07
Ti 0.2500 0.3750 0.6250  4 N 1.90
Ti 0.2500 0.8750 0.1250  4 N 1.90
Ti 0.0000 0.5000 0.5000  6 N 2.07
Ti 0.8750 0.2500 0.6250  4 N 1.90
Ti 0.6250 0.7500 0.8750  4 N 1.90
Ti 0.8750 0.6250 0.7500  4 N 1.90
N 0.7081 0.1208 0.0294  2 Ti 1.90-2.07
N 0.3212 0.5294 0.4086  2 Ti 1.90-2.07
N 0.9706 0.3792 0.2919  2 Ti 1.90-2.07
N 0.5294 0.2081 0.1208  2 Ti 1.90-2.07
N 0.5873 0.7081 0.6788  2 Ti 1.90-2.07
N 0.9706 0.5914 0.1788  2 Ti 1.90-2.07
N 0.3212 0.7919 0.4127  2 Ti 1.90-2.07
N 0.0914 0.9127 0.1208  2 Ti 1.90-2.07
N 0.5914 0.9706 0.6788  2 Ti 1.90-2.07
N 0.7081 0.5873 0.1788  2 Ti 1.90-2.07
N 0.7919 0.4706 0.3792  2 Ti 1.90-2.07
N 0.8212 0.9086 0.0294  2 Ti 1.90-2.07
N 0.1208 0.7081 0.5294  2 Ti 1.90-2.07
N 0.3792 0.4086 0.0873  2 Ti 1.90-2.07
N 0.0873 0.9086 0.3792  2 Ti 1.90-2.07
N 0.4127 0.1208 0.5914  2 Ti 1.90-2.07
N 0.0873 0.1788 0.2081  2 Ti 1.90-2.07
N 0.4706 0.6788 0.0914  2 Ti 1.90-2.07
N 0.8212 0.9127 0.2919  2 Ti 1.90-2.07
N 0.1208 0.4127 0.0914  2 Ti 1.90-2.07
N 0.3792 0.9706 0.7919  2 Ti 1.90-2.07
N 0.5914 0.6208 0.4127  2 Ti 1.90-2.07
N 0.9086 0.8212 0.5294  2 Ti 1.90-2.07
N 0.7919 0.3212 0.9127  2 Ti 1.90-2.07
N 0.4086 0.3792 0.5873  2 Ti 1.90-2.07
N 0.0914 0.1788 0.4706  2 Ti 1.90-2.07
N 0.2081 0.6788 0.0873  2 Ti 1.90-2.07
N 0.1788 0.0873 0.7081  2 Ti 1.90-2.07
N 0.6208 0.0294 0.2081  2 Ti 1.90-2.07
N 0.8792 0.5873 0.9086  2 Ti 1.90-2.07
N 0.5294 0.3212 0.9086  2 Ti 1.90-2.07
N 0.5873 0.8792 0.4086  2 Ti 1.90-2.07
N 0.9127 0.8212 0.7919  2 Ti 1.90-2.07
N 0.9127 0.0914 0.6208  2 Ti 1.90-2.07
N 0.8792 0.2919 0.4706  2 Ti 1.90-2.07
N 0.1788 0.0914 0.9706  2 Ti 1.90-2.07
N 0.6208 0.5914 0.9127  2 Ti 1.90-2.07
N 0.4086 0.0294 0.3212  2 Ti 1.90-2.07
N 0.2919 0.4127 0.8212  2 Ti 1.90-2.07
N 0.2081 0.5294 0.6208  2 Ti 1.90-2.07
N 0.9086 0.0873 0.8792  2 Ti 1.90-2.07
N 0.6788 0.2081 0.5873  2 Ti 1.90-2.07
N 0.4706 0.7919 0.8792  2 Ti 1.90-2.07
N 0.0294 0.4086 0.8212  2 Ti 1.90-2.07
N 0.4127 0.2919 0.3212  2 Ti 1.90-2.07
N 0.0294 0.6208 0.7081  2 Ti 1.90-2.07
N 0.6788 0.4706 0.5914  2 Ti 1.90-2.07
N 0.2919 0.8792 0.9706  2 Ti 1.90-2.07

Calculated values
ΔE_f (raw) in eV/atom: -0.78
Crystal system: cubic
Density in g cm⁻³: 5.929
Total DFT energy (no corrections) in eV per atom: -8.44

=====

(6)
This record from Alexandria describes LiMnH2Se after structural relaxation. The functional is GGA-PBE.

a = 3.7102 Å, b = 5.1999 Å, c = 3.7102 Å
α = 90.00°, β = 90.00°, γ = 90.00°
Last column: nearest neighbours and their distance in Å.
Sites, in units of the cell vectors:
H 0.0000 0.0000 0.5000  2 Se 1.86
H 0.5000 0.0000 0.0000  2 Se 1.86
Mn 0.0000 0.5000 0.0000  2 Se 2.60, 4 Li 2.62
Se 0.0000 0.0000 0.0000  4 H 1.86
Li 0.5000 0.5000 0.5000  4 Mn 2.62

Calculated values
Crystal system: tetragonal
Density in g cm⁻³: 3.314
Total DFT energy (no corrections) in eV per atom: -3.71
E above lowest polymorph in meV/atom: 793